# KSrTl2 | the Alexandria database | SCAN | single point on PBEsol structure
# polymorph energy (0 for the lowest one): 0.027 eV per atom
# total moment: 0.00 μB per cell
data_KSrTl2
_cell_length_a 5.7144
_cell_length_b 5.7144
_cell_length_c 8.1085
_cell_angle_alpha 90.00
_cell_angle_beta 90.00
_cell_angle_gamma 90.00
_symmetry_space_group_name_H-M 'I 4/m m m'
_symmetry_Int_Tables_number 139
_symmetry_space_group_name_Hall '-I 4 2'
loop_
_atom_site_label
_atom_site_type_symbol
_atom_site_fract_x
_atom_site_fract_y
_atom_site_fract_z
K1 K 0.0000 0.0000 0.0000
Sr1 Sr 0.0000 0.0000 0.5000
Tl1 Tl 0.0000 0.5000 0.2500

***

# SrMnTl3 | the Alexandria database | SCAN | single point on PBEsol structure
# total moment: 2.22 μB per cell
# total energy: -51.6702 eV per atom
data_SrMnTl3
_cell_length_a 5.1210
_cell_length_b 5.1210
_cell_length_c 5.1210
_cell_angle_alpha 90.00
_cell_angle_beta 90.00
_cell_angle_gamma 90.00
_symmetry_space_group_name_H-M 'P m -3 m'
_symmetry_Int_Tables_number 221
_symmetry_space_group_name_Hall '-P 4 2 3'
loop_
_atom_site_label
_atom_site_type_symbol
_atom_site_fract_x
_atom_site_fract_y
_atom_site_fract_z
Sr1 Sr 0.0000 0.0000 0.0000
Mn1 Mn 0.5000 0.5000 0.5000
Tl1 Tl 0.0000 0.5000 0.5000

***

# TbMgRh2 | the Alexandria database | SCAN | single point on PBEsol structure
# total moment: 0.00 μB per cell
# total energy: -30.6035 eV per atom
data_TbMgRh2
_cell_length_a 6.4837
_cell_length_b 6.4837
_cell_length_c 6.4837
_cell_angle_alpha 90.00
_cell_angle_beta 90.00
_cell_angle_gamma 90.00
_symmetry_space_group_name_H-M 'F m -3 m'
_symmetry_Int_Tables_number 225
_symmetry_space_group_name_Hall '-F 4 2 3'
loop_
_atom_site_label
_atom_site_type_symbol
_atom_site_fract_x
_atom_site_fract_y
_atom_site_fract_z
Tb1 Tb 0.0000 0.0000 0.0000
Mg1 Mg 0.0000 0.0000 0.5000
Rh1 Rh 0.2500 0.2500 0.2500

***

# Li2SiNiO4 | the Alexandria database | SCAN | single point on PBEsol structure
# E_form (uncorrected): -2302 meV per atom
# polymorph energy (0 for the lowest one): 0.066 eV per atom
# total moment: 5.97 μB per cell
data_Li2SiNiO4
_cell_length_a 4.9736
_cell_length_b 4.9736
_cell_length_c 11.2332
_cell_angle_alpha 90.00
_cell_angle_beta 90.00
_cell_angle_gamma 120.00
_symmetry_space_group_name_H-M 'P 31'
_symmetry_Int_Tables_number 144
loop_
_symmetry_equiv_pos_as_xyz
'x,y,z'
'-y,x-y,z+1/3'
'-x+y,-x,z+2/3'
loop_
_atom_site_label
_atom_site_type_symbol
_atom_site_fract_x
_atom_site_fract_y
_atom_site_fract_z
Li1 Li 0.0128 0.8035 0.0000
Li2 Li 0.1064 0.6499 0.5056
Si1 Si 0.4811 0.3224 0.5875
Ni1 Ni 0.1435 0.7820 0.7480
O1 O 0.0931 0.6509 0.1445
O2 O 0.2324 0.2006 0.6988
O3 O 0.3903 0.2092 0.9628
O4 O 0.5040 0.4796 0.2135

***

# Li2NiO3 | the Alexandria database | SCAN | single point on PBEsol structure
# E_form (uncorrected): -1745 meV per atom
# total moment: 0.00 μB per cell
data_Li2NiO3
_cell_length_a 4.8397
_cell_length_b 8.3888
_cell_length_c 9.4418
_cell_angle_alpha 90.00
_cell_angle_beta 99.94
_cell_angle_gamma 90.00
_symmetry_space_group_name_H-M 'C 1 2/c 1'
_symmetry_Int_Tables_number 15
loop_
_symmetry_equiv_pos_as_xyz
'x,y,z'
'-x,-y,-z'
'-x,y,-z+1/2'
'x,-y,z+1/2'
'x+1/2,y+1/2,z'
'-x+1/2,-y+1/2,-z'
'-x+1/2,y+1/2,-z+1/2'
'x+1/2,-y+1/2,z+1/2'
loop_
_atom_site_label
_atom_site_type_symbol
_atom_site_fract_x
_atom_site_fract_y
_atom_site_fract_z
Li1 Li 0.0000 0.0841 0.2500
Li2 Li 0.2439 0.0817 0.0002
Li3 Li 0.2500 0.2500 0.5000
Ni1 Ni 0.0000 0.2497 0.7500
Ni2 Ni 0.0000 0.4172 0.2500
O1 O 0.1057 0.4160 0.6388
O2 O 0.1406 0.0943 0.6375
O3 O 0.1411 0.2624 0.1387

***

# KCoAs2 | the Alexandria database | SCAN | single point on PBEsol structure
# polymorph energy (0 for the lowest one): 0.000 eV per atom
# total moment: 0.44 μB per cell
data_KCoAs2
_cell_length_a 2.9220
_cell_length_b 2.9220
_cell_length_c 9.0887
_cell_angle_alpha 90.00
_cell_angle_beta 90.00
_cell_angle_gamma 90.00
_symmetry_space_group_name_H-M 'P 4 m m'
_symmetry_Int_Tables_number 99
loop_
_symmetry_equiv_pos_as_xyz
'x,y,z'
'-y,x,z'
'-x,-y,z'
'y,-x,z'
'-x,y,z'
'y,x,z'
'x,-y,z'
'-y,-x,z'
loop_
_atom_site_label
_atom_site_type_symbol
_atom_site_fract_x
_atom_site_fract_y
_atom_site_fract_z
K1 K 0.0000 0.0000 0.0000
Co1 Co 0.5000 0.5000 0.7130
As1 As 0.0000 0.0000 0.5926
As2 As 0.5000 0.5000 0.2931

***

> Number 3 is which compound?

TbMgRh2